[1]
Density functional theory data (PBE) for a relaxed structure of Dy4BSeS2.

Cell lengths 5.554, 5.554, 6.823 Å; angles 114.02, 114.02, 90.00 degrees
Fractional coordinates of all 8 atoms:
Dy 0.983 0.483 0.965
Dy 0.517 0.017 0.035
Dy 0.754 0.754 0.509
Dy 0.246 0.246 0.491
B 0.750 0.250 0.500
Se 0.500 0.500 0.000
S 0.250 0.750 0.500
S 0.000 0.000 0.000

***

[2]
Density functional theory data (PBE) for a relaxed structure of Ho3SiNi9Ge2.

Cell lengths 6.012, 6.012, 8.008 Å; angles 90.00, 90.00, 120.00 degrees
Fractional coordinates of all 15 atoms:
Ho 0.333 0.667 0.676
Ho 0.000 0.000 0.000
Ho 0.667 0.333 0.324
Si 0.000 0.000 0.500
Ni 0.865 0.135 0.713
Ni 0.865 0.730 0.713
Ni 0.270 0.135 0.713
Ni 0.730 0.865 0.287
Ni 0.135 0.270 0.287
Ni 0.135 0.865 0.287
Ni 0.500 0.000 0.000
Ni 0.000 0.500 0.000
Ni 0.500 0.500 0.000
Ge 0.333 0.667 0.193
Ge 0.667 0.333 0.807

***

[3]
Density functional theory data (PBE) for a relaxed structure of CeCoCuSi2.

Cell lengths 5.621, 5.621, 5.621 Å; angles 137.92, 137.92, 61.03 degrees
Last column: magnetic moment on the atom in μB.
Fractional coordinates of all 5 atoms:
Ce 0.000 0.000 0.000  -0.03
Co 0.250 0.750 0.500  0.47
Cu 0.750 0.250 0.500  0.02
Si 0.625 0.625 0.000  0.00
Si 0.375 0.375 0.000  0.00

***

no.,formation energy (no corrections) (eV per atom)
1,-1.533
2,-0.262
3,-0.618